Entry from Alexandria via LeMat-Bulk: a relaxed structure of CeTaSe4 (PBE).

Lattice parameters (Å, degrees): 5.0413 6.9125 9.2218 90.00 105.86 90.00
Site moments in Bohr magnetons follow the coordinates.
Sites, in units of the cell vectors:
Ce: 0.8356 0.8706 0.6711  0.71
Ce: 0.1644 0.3706 0.3289  0.71
Ta: 0.5956 0.7577 0.1913  0.04
Ta: 0.4044 0.2577 0.8087  0.04
Se: 0.9048 0.2645 0.8096  -0.01
Se: 0.0952 0.7645 0.1904  -0.01
Se: 0.4617 0.9056 0.9234  -0.01
Se: 0.5383 0.4056 0.0766  -0.01
Se: 0.7191 0.5559 0.4382  -0.02
Se: 0.2809 0.0559 0.5618  -0.02
Se: 0.6642 0.0791 0.3284  -0.02
Se: 0.3358 0.5791 0.6716  -0.02

Summary:
Crystal system: orthorhombic
DOS(E_F) (states/eV/cell): 12.28
Calculated volume (Å³ per cell): 309
Formation energy (no corrections) (meV per atom): -1031
DFT total energy (eV per atom): -6.318
Symmetry: No. 36

---

Entry from Alexandria via LeMat-Bulk: a relaxed structure of SeSN2Cl (PBE).

Lattice parameters (Å, degrees): 3.6869 3.6869 6.4809 90.00 90.00 90.00
Site moments in Bohr magnetons follow the coordinates.
Sites, in units of the cell vectors:
S: 0.0000 0.0000 0.5000  0.00
N: 0.0000 0.5000 0.0000  0.25
N: 0.5000 0.0000 0.0000  0.25
Se: 0.0000 0.0000 0.0000  0.01
Cl: 0.5000 0.5000 0.5000  0.00

Summary:
Crystal system: tetragonal
Energy relative to the lowest polymorph listed for this composition (meV/atom): 159
DOS(E_F) (states/eV/cell): 3.31
Calculated volume (Å³ per cell): 88
Formation energy (no corrections) (meV per atom): 1666
DFT total energy (eV per atom): -3.555
Symmetry: No. 123

---

Entry from Alexandria via LeMat-Bulk: a relaxed structure of MnSbPd6 (PBE).

Lattice parameters (Å, degrees): 7.0084 7.4956 5.1382 42.96 46.63 57.43
Site moments in Bohr magnetons follow the coordinates.
Sites, in units of the cell vectors:
Mn: 0.5000 0.5000 0.5000  4.01
Sb: 0.0000 0.0000 0.0000  -0.01
Pd: 0.9438 0.4465 0.8611  0.06
Pd: 0.7488 0.9407 0.7548  0.06
Pd: 0.4469 0.2514 0.3603  0.06
Pd: 0.2512 0.0593 0.2452  0.06
Pd: 0.0562 0.5535 0.1389  0.06
Pd: 0.5531 0.7486 0.6397  0.06

Summary:
Crystal system: triclinic
Energy relative to the lowest polymorph listed for this composition (meV/atom): 130
DOS(E_F) (states/eV/cell): 4.49
Calculated volume (Å³ per cell): 133
Formation energy (no corrections) (meV per atom): -192
DFT total energy (eV per atom): -5.749
Symmetry: No. 2